1.
Entry from Alexandria: an optimized crystal structure of BaInSCl2 (PBEsol).

Geometry as extended XYZ:
```
5
Lattice="-0.685 -3.766 -4.407 4.528 2.423 -2.774 3.651 -3.778 2.660" Properties=species:S:1:pos:R:3 pbc="T T T"
S 1.826 -1.889 1.330
Cl 2.264 1.212 -1.387
Cl -0.342 -1.883 -2.204
Ba 0.000 0.000 0.000
In 3.747 -2.560 -2.261
```

Calculated values
The calculation puts the raw formation energy at -4.55 eV per formula unit.

2.
Entry from Alexandria: an optimized crystal structure of TiZnTe2N (PBEsol).

Geometry as extended XYZ:
```
5
Lattice="3.562 0.000 0.000 0.000 5.368 0.000 0.000 0.000 5.368" Properties=species:S:1:pos:R:3 pbc="T T T"
N 1.781 0.000 0.000
Zn 0.000 0.000 0.000
Te 0.000 0.000 2.684
Te 0.000 2.684 0.000
Ti 1.781 2.684 2.684
```

Calculated values
The calculation puts the raw formation energy at 3.42 eV per formula unit.

3.
Entry from Alexandria: an optimized crystal structure of In3PbAu (PBEsol).

Geometry as extended XYZ:
```
5
Lattice="-4.210 3.239 1.863 -2.317 -0.062 -5.129 -2.931 -4.603 1.379" Properties=species:S:1:pos:R:3 pbc="T T T"
Pb 0.000 0.000 0.000
Au -4.729 -0.713 -0.943
In -1.159 -0.031 -2.565
In -1.466 -2.302 0.690
In -2.105 1.619 0.932
```

Calculated values
The value obtained for the energy relative to the elements is 0.79 eV per atom.

4.
Entry from Alexandria: an optimized crystal structure of IrRuAu (PBEsol).

Geometry as extended XYZ:
```
3
Lattice="4.193 0.000 0.000 2.097 3.632 0.000 2.097 1.211 3.424" Properties=species:S:1:pos:R:3 pbc="T T T"
Au 0.000 0.000 0.000
Ir 4.193 2.421 1.712
Ru 2.097 1.211 0.856
```

Calculated values
The value obtained for the energy relative to the elements is 0.86 eV per atom. The energy above the lowest structure with this stoichiometry comes out at 0.79 eV/f.u.

5.
Entry from Alexandria: an optimized crystal structure of Ba2MoIr (PBEsol).

Geometry as extended XYZ:
```
4
Lattice="-1.525 2.255 2.280 -3.010 -0.136 -1.879 -3.013 -7.468 5.368" Properties=species:S:1:pos:R:3 pbc="T T T"
Ba -2.781 -6.892 4.955
Ba -3.270 -1.426 1.987
Ir -1.810 -4.485 3.224
Mo -4.207 -3.748 3.656
```

Calculated values
The value obtained for the energy relative to the elements is 0.42 eV per atom. The energy above the lowest structure with this stoichiometry comes out at 0.00 eV/f.u.

6.
Entry from Alexandria: an optimized crystal structure of Zr2ScSe (PBEsol).

Geometry as extended XYZ:
```
4
Lattice="-2.478 1.824 -1.224 -2.213 -4.089 -1.614 -2.401 -0.390 4.279" Properties=species:S:1:pos:R:3 pbc="T T T"
Sc -3.546 -1.328 0.721
Se -1.239 0.912 -0.612
Zr -1.200 -0.195 2.140
Zr -1.106 -2.045 -0.807
```

Calculated values
The calculation puts the raw formation energy at -1.34 eV per formula unit.

7.
Entry from Alexandria: an optimized crystal structure of MnTeCl2 (PBEsol).

Geometry as extended XYZ:
```
4
Lattice="4.334 0.000 0.000 0.000 4.334 0.000 -2.167 -2.167 4.451" Properties=species:S:1:pos:R:3 pbc="T T T"
Te 0.000 0.000 0.000
Mn 2.167 2.167 0.000
Cl 2.167 0.000 2.225
Cl 0.000 2.167 2.225
```

Calculated values
The calculation puts the raw formation energy at 0.86 eV per formula unit. The energy above the lowest structure with this stoichiometry comes out at 1.43 eV/f.u.

8.
Entry from Alexandria: an optimized crystal structure of TiCdFeRh2 (PBEsol).

Geometry as extended XYZ:
```
5
Lattice="4.378 0.000 0.000 0.000 4.378 0.000 0.000 0.000 5.006" Properties=species:S:1:pos:R:3 pbc="T T T"
Ti 0.000 0.000 0.000
Rh 0.000 2.189 0.000
Rh 2.189 0.000 0.000
Fe 2.189 2.189 2.503
Cd 0.000 0.000 2.503
```

Calculated values
The value obtained for the energy relative to the elements is 1.08 eV per atom.